<one>
This record from Alexandria describes a relaxed structure of CdTcS2N. The functional is PBE.

Values from the calculation:
Magnetization ... 0.00 μB per formula unit

Cell lengths 4.8685, 4.8685, 3.7213 Å; angles 90.00, 90.00, 90.00 degrees
With the nearest neighbours (Å) after each atom.
Space group P4/mmm (No. 123)
Asymmetric unit:
Cd  0.0000  0.0000  0.0000 [1 per cell]  8 S 3.06
Tc  0.5000  0.5000  0.5000 [1 per cell]  2 N 1.86
S  0.0000  0.5000  0.5000 [2 per cell]  2 Tc 2.43
N  0.5000  0.5000  0.0000 [1 per cell]  2 Tc 1.86

---

<two>
This record from Alexandria describes a relaxed structure of CdTcS2N. The functional is PBE.

Values from the calculation:
Magnetization ... 2.16 μB per formula unit

Cell lengths 4.9725, 4.9725, 4.0167 Å; angles 90.00, 90.00, 90.00 degrees
With the nearest neighbours (Å) after each atom.
Space group P4/mmm (No. 123)
Asymmetric unit:
Cd  0.0000  0.0000  0.0000 [1 per cell]  2 N 2.01
Tc  0.5000  0.5000  0.5000 [1 per cell]  8 S 3.20, 4 N 3.52
S  0.0000  0.5000  0.0000 [2 per cell]  2 Cd 2.49
N  0.0000  0.0000  0.5000 [1 per cell]  2 Cd 2.01

---

Relative calculated energies, zero for the most stable structure, unit meV per atom: <one> 0; <two> 1716.